## LiZrV2O8 (GGA+U)

Data for a geometry-optimized LiZrV2O8 structure.

Lattice parameters (Å, degrees): 6.9624 6.9624 6.2031 90.00 90.00 90.00
With the nearest neighbours (Å) after each atom.
Space group I-4m2 (No. 119)
Inequivalent atoms, fractional coordinates:
Li (0.0000, 0.0000, 0.0000) [2 per cell]  4 O 2.21
Zr (0.0000, 0.5000, 0.2500) [2 per cell]  8 O 2.14-2.35
V (0.0000, 0.0000, 0.5000) [2 per cell]  4 O 1.73
V (0.0000, 0.5000, 0.7500) [2 per cell]  4 O 1.74
O (0.0000, 0.2030, 0.3388) [8 per cell]  1 V 1.73
O (0.0000, 0.3120, 0.9359) [8 per cell]  1 V 1.74

Values from the calculation:
- calculated volume (Å³/f.u.) = 150
- energy (eV/f.u.) = -89.88
- Fermi-level density of states (states/eV per atom) = 0.57